# 1
# CdBIO2 | Alexandria | GGA-PBE | relaxed
data_CdBIO2
_chemical_formula_sum 'Cd1 B1 I1 O2'
_cell_length_a 4.084
_cell_length_b 4.084
_cell_length_c 7.117
_cell_angle_alpha 90.00
_cell_angle_beta 90.00
_cell_angle_gamma 90.00
_space_group_name_H-M_alt 'P 4/m m m'
_space_group_IT_number 123
_space_group_name_Hall '-P 4 2'
loop_
_atom_site_label
_atom_site_type_symbol
_atom_site_fract_x
_atom_site_fract_y
_atom_site_fract_z
Cd1 Cd 0.000 0.000 0.000
B1 B 0.500 0.500 0.500
I1 I 0.000 0.000 0.500
O1 O 0.000 0.500 0.000
# Raw formation energy ... 0.9270 eV per atom

=====

# 2
# Na8B11C5 | Alexandria | GGA-PBE | relaxed
data_Na8B11C5
_chemical_formula_sum 'Na8 B11 C5'
_cell_length_a 5.7729
_cell_length_b 5.7729
_cell_length_c 8.5582
_cell_angle_alpha 90.00
_cell_angle_beta 90.00
_cell_angle_gamma 120.00
_space_group_name_H-M_alt 'P -6 m 2'
_space_group_IT_number 187
_space_group_name_Hall 'P -6 2'
loop_
_atom_site_label
_atom_site_type_symbol
_atom_site_fract_x
_atom_site_fract_y
_atom_site_fract_z
Na1 Na 0.0000 0.0000 0.2455
Na2 Na 0.9997 0.4998 0.2465
B1 B 0.1607 0.3214 0.5000
B2 B 0.1668 0.3335 0.0000
B3 B 0.3333 0.6667 0.5000
B4 B 0.3545 0.1772 0.5000
B5 B 0.6667 0.3333 0.0000
C1 C 0.3333 0.1666 0.0000
C2 C 0.3333 0.6667 0.0000
C3 C 0.6667 0.3333 0.5000
# Energy relative to the elements ... 0.129 eV per atom